Entry 1:
# TeSe2Br, relaxed, DFT PBE
data_TeSe2Br
_chemical_formula_sum 'Te1 Se2 Br1'
_space_group_name_H-M_alt 'P 1'
_space_group_IT_number 1
_cell_length_a 10.165
_cell_length_b 10.165
_cell_length_c 10.165
_cell_angle_alpha 19.60
_cell_angle_beta 19.60
_cell_angle_gamma 19.60
loop_
_space_group_symop_operation_xyz
'x,y,z'
loop_
_atom_site_label
_atom_site_fract_x
_atom_site_fract_y
_atom_site_fract_z
Te1 0.000 0.000 0.000
Se1 0.089 0.089 0.089
Br1 0.500 0.500 0.500
Se2 0.911 0.911 0.911
# * raw total energy: -2.487 eV/atom
# * formation energy from raw total energies: 0.46 eV/atom
# * magnetic moment: 0.0 μB per formula unit
# * volume: 25.8 Å³ per atom
# * space-group type: No. 166


Entry 2:
# TeSe2Br, relaxed, DFT PBE
data_TeSe2Br
_chemical_formula_sum 'Te1 Se2 Br1'
_space_group_name_H-M_alt 'P 1'
_space_group_IT_number 1
_cell_length_a 4.747
_cell_length_b 4.747
_cell_length_c 8.239
_cell_angle_alpha 77.21
_cell_angle_beta 77.21
_cell_angle_gamma 43.25
loop_
_space_group_symop_operation_xyz
'x,y,z'
loop_
_atom_site_label
_atom_site_fract_x
_atom_site_fract_y
_atom_site_fract_z
Se1 0.643 0.643 0.771
Te1 0.494 0.494 0.522
Br1 0.351 0.351 0.231
Se2 0.012 0.012 0.976
# * raw total energy: -2.882 eV/atom
# * formation energy from raw total energies: 0.06 eV/atom
# * magnetic moment: 0.0 μB per formula unit
# * volume: 30.9 Å³ per atom
# * space-group type: No. 8


Entry 3:
# TeSe2Br, relaxed, DFT PBE
data_TeSe2Br
_chemical_formula_sum 'Te2 Se4 Br2'
_space_group_name_H-M_alt 'P 1'
_space_group_IT_number 1
_cell_length_a 4.100
_cell_length_b 5.914
_cell_length_c 10.327
_cell_angle_alpha 90.00
_cell_angle_beta 90.00
_cell_angle_gamma 99.19
loop_
_space_group_symop_operation_xyz
'x,y,z'
loop_
_atom_site_label
_atom_site_fract_x
_atom_site_fract_y
_atom_site_fract_z
Br1 0.969 0.142 0.750
Te1 0.977 0.357 0.250
Se1 0.460 0.319 0.447
Se2 0.540 0.681 0.947
Te2 0.023 0.643 0.750
Se3 0.540 0.681 0.553
Se4 0.460 0.319 0.053
Br2 0.031 0.858 0.250
# * raw total energy: -3.006 eV/atom
# * formation energy from raw total energies: -0.06 eV/atom
# * magnetic moment: 0.0 μB per formula unit
# * volume: 30.9 Å³ per atom
# * space-group type: No. 11


Entry 4:
# Te2Se2Br, relaxed, DFT PBE
data_Te2Se2Br
_chemical_formula_sum 'Te4 Se4 Br2'
_space_group_name_H-M_alt 'P 1'
_space_group_IT_number 1
_cell_length_a 3.889
_cell_length_b 12.329
_cell_length_c 8.549
_cell_angle_alpha 113.48
_cell_angle_beta 103.15
_cell_angle_gamma 90.00
loop_
_space_group_symop_operation_xyz
'x,y,z'
loop_
_atom_site_label
_atom_site_fract_x
_atom_site_fract_y
_atom_site_fract_z
Te1 0.826 0.093 0.653
Se1 0.060 0.175 0.120
Br1 0.865 0.472 0.729
Te2 0.410 0.668 0.820
Te3 0.174 0.907 0.347
Se2 0.351 0.248 0.701
Te4 0.590 0.332 0.180
Se3 0.940 0.825 0.880
Se4 0.649 0.752 0.299
Br2 0.135 0.528 0.271
# * raw total energy: -2.996 eV/atom
# * formation energy from raw total energies: -0.01 eV/atom
# * magnetic moment: 0.0 μB per formula unit
# * volume: 36.4 Å³ per atom
# * space-group type: No. 12


Entry 5:
# TeSe2Br2, relaxed, DFT PBE
data_TeSe2Br2
_chemical_formula_sum 'Te2 Se4 Br4'
_space_group_name_H-M_alt 'P 1'
_space_group_IT_number 1
_cell_length_a 7.476
_cell_length_b 7.476
_cell_length_c 5.092
_cell_angle_alpha 90.00
_cell_angle_beta 90.00
_cell_angle_gamma 90.00
loop_
_space_group_symop_operation_xyz
'x,y,z'
loop_
_atom_site_label
_atom_site_fract_x
_atom_site_fract_y
_atom_site_fract_z
Se1 0.392 0.892 0.000
Te1 0.000 0.000 0.000
Br1 0.739 0.761 0.500
Br2 0.261 0.239 0.500
Se2 0.608 0.108 0.000
Te2 0.500 0.500 0.000
Br3 0.761 0.261 0.500
Se3 0.108 0.392 0.000
Br4 0.239 0.739 0.500
Se4 0.892 0.608 0.000
# * raw total energy: -2.382 eV/atom
# * formation energy from raw total energies: 0.31 eV/atom
# * magnetic moment: 0.0 μB per formula unit
# * volume: 28.5 Å³ per atom
# * space-group type: No. 127


Entry 6:
# TeSe2Br, relaxed, DFT PBE
data_TeSe2Br
_chemical_formula_sum 'Te1 Se2 Br1'
_space_group_name_H-M_alt 'P 1'
_space_group_IT_number 1
_cell_length_a 9.072
_cell_length_b 9.072
_cell_length_c 9.072
_cell_angle_alpha 25.97
_cell_angle_beta 25.97
_cell_angle_gamma 25.97
loop_
_space_group_symop_operation_xyz
'x,y,z'
loop_
_atom_site_label
_atom_site_fract_x
_atom_site_fract_y
_atom_site_fract_z
Se1 0.101 0.101 0.101
Br1 0.000 0.000 0.000
Se2 0.899 0.899 0.899
Te1 0.500 0.500 0.500
# * raw total energy: -2.895 eV/atom
# * formation energy from raw total energies: 0.05 eV/atom
# * magnetic moment: 0.0 μB per formula unit
# * volume: 31.5 Å³ per atom
# * space-group type: No. 166


Entry 7:
# TeSe2Br, relaxed, DFT PBE
data_TeSe2Br
_chemical_formula_sum 'Te1 Se2 Br1'
_space_group_name_H-M_alt 'P 1'
_space_group_IT_number 1
_cell_length_a 4.054
_cell_length_b 5.251
_cell_length_c 7.018
_cell_angle_alpha 56.75
_cell_angle_beta 90.00
_cell_angle_gamma 90.00
loop_
_space_group_symop_operation_xyz
'x,y,z'
loop_
_atom_site_label
_atom_site_fract_x
_atom_site_fract_y
_atom_site_fract_z
Se1 0.000 0.488 0.402
Se2 0.000 0.012 0.098
Br1 0.500 0.750 0.750
Te1 0.500 0.250 0.250
# * raw total energy: -2.999 eV/atom
# * formation energy from raw total energies: -0.05 eV/atom
# * magnetic moment: 0.0 μB per formula unit
# * volume: 31.2 Å³ per atom
# * space-group type: No. 10


Entry 8:
# TeSe2Br2, relaxed, DFT PBE
data_TeSe2Br2
_chemical_formula_sum 'Te2 Se4 Br4'
_space_group_name_H-M_alt 'P 1'
_space_group_IT_number 1
_cell_length_a 7.865
_cell_length_b 7.865
_cell_length_c 7.022
_cell_angle_alpha 90.00
_cell_angle_beta 90.00
_cell_angle_gamma 90.00
loop_
_space_group_symop_operation_xyz
'x,y,z'
loop_
_atom_site_label
_atom_site_fract_x
_atom_site_fract_y
_atom_site_fract_z
Br1 0.252 0.248 0.000
Se1 0.902 0.402 0.500
Br2 0.248 0.748 0.000
Te1 0.500 0.500 0.000
Te2 0.000 0.000 0.000
Br3 0.748 0.752 0.000
Se2 0.402 0.098 0.500
Se3 0.598 0.902 0.500
Br4 0.752 0.252 0.000
Se4 0.098 0.598 0.500
# * raw total energy: -2.521 eV/atom
# * formation energy from raw total energies: 0.17 eV/atom
# * magnetic moment: 1.7 μB per formula unit
# * volume: 43.4 Å³ per atom
# * space-group type: No. 127


Entry 9:
# TeSe2Br, relaxed, DFT PBE
data_TeSe2Br
_chemical_formula_sum 'Te1 Se2 Br1'
_space_group_name_H-M_alt 'P 1'
_space_group_IT_number 1
_cell_length_a 3.950
_cell_length_b 5.134
_cell_length_c 6.587
_cell_angle_alpha 89.91
_cell_angle_beta 90.00
_cell_angle_gamma 90.00
loop_
_space_group_symop_operation_xyz
'x,y,z'
loop_
_atom_site_label
_atom_site_fract_x
_atom_site_fract_y
_atom_site_fract_z
Br1 0.500 0.762 0.740
Se1 0.500 0.248 0.251
Se2 0.000 0.908 0.109
Te1 0.000 0.581 0.401
# * raw total energy: -2.906 eV/atom
# * formation energy from raw total energies: 0.04 eV/atom
# * magnetic moment: 0.0 μB per formula unit
# * volume: 33.4 Å³ per atom
# * space-group type: No. 6


Entry 10:
# TeSe2Br, relaxed, DFT PBE
data_TeSe2Br
_chemical_formula_sum 'Te1 Se2 Br1'
_space_group_name_H-M_alt 'P 1'
_space_group_IT_number 1
_cell_length_a 5.092
_cell_length_b 5.092
_cell_length_c 5.092
_cell_angle_alpha 60.00
_cell_angle_beta 60.00
_cell_angle_gamma 60.00
loop_
_space_group_symop_operation_xyz
'x,y,z'
loop_
_atom_site_label
_atom_site_fract_x
_atom_site_fract_y
_atom_site_fract_z
Te1 0.500 0.500 0.500
Se1 0.750 0.750 0.750
Se2 0.250 0.250 0.250
Br1 0.000 0.000 0.000
# * raw total energy: -2.511 eV/atom
# * formation energy from raw total energies: 0.43 eV/atom
# * magnetic moment: 0.0 μB per formula unit
# * volume: 23.3 Å³ per atom
# * space-group type: No. 225


Entry 11:
# Te2Se2Br, relaxed, DFT PBE
data_Te2Se2Br
_chemical_formula_sum 'Te4 Se4 Br2'
_space_group_name_H-M_alt 'P 1'
_space_group_IT_number 1
_cell_length_a 8.222
_cell_length_b 8.222
_cell_length_c 3.888
_cell_angle_alpha 90.00
_cell_angle_beta 90.00
_cell_angle_gamma 90.00
loop_
_space_group_symop_operation_xyz
'x,y,z'
loop_
_atom_site_label
_atom_site_fract_x
_atom_site_fract_y
_atom_site_fract_z
Se1 0.150 0.650 0.500
Te1 0.172 0.328 0.000
Se2 0.650 0.850 0.500
Te2 0.672 0.172 0.000
Te3 0.328 0.828 0.000
Br1 0.000 0.000 0.000
Se3 0.850 0.350 0.500
Se4 0.350 0.150 0.500
Te4 0.828 0.672 0.000
Br2 0.500 0.500 0.000
# * raw total energy: -2.846 eV/atom
# * formation energy from raw total energies: 0.14 eV/atom
# * magnetic moment: 0.0 μB per formula unit
# * volume: 26.3 Å³ per atom
# * space-group type: No. 127


Entry 12:
# Te2Se2Br, relaxed, DFT PBE
data_Te2Se2Br
_chemical_formula_sum 'Te2 Se2 Br1'
_space_group_name_H-M_alt 'P 1'
_space_group_IT_number 1
_cell_length_a 5.223
_cell_length_b 5.223
_cell_length_c 7.048
_cell_angle_alpha 68.25
_cell_angle_beta 68.25
_cell_angle_gamma 90.00
loop_
_space_group_symop_operation_xyz
'x,y,z'
loop_
_atom_site_label
_atom_site_fract_x
_atom_site_fract_y
_atom_site_fract_z
Te1 0.335 0.335 0.331
Te2 0.665 0.665 0.669
Se1 0.250 0.750 0.500
Se2 0.750 0.250 0.500
Br1 0.000 0.000 0.000
# * raw total energy: -2.875 eV/atom
# * formation energy from raw total energies: 0.11 eV/atom
# * magnetic moment: 0.0 μB per formula unit
# * volume: 32.7 Å³ per atom
# * space-group type: No. 139